No. 1
The following is a DFT calculation (PBE) of ThNi2H6 after structural relaxation.

The electronic total energy is -4.72 eV per atom.

a = 4.4219 Å, b = 4.4219 Å, c = 4.2625 Å
α = 90.00°, β = 90.00°, γ = 120.00°
Space group P6/mmm (No. 191)
Inequivalent atoms, fractional coordinates:
Th  0.0000  0.0000  0.0000
Ni  0.3333  0.6667  0.5000
H  0.0000  0.5000  0.2512


No. 2
The following is a DFT calculation (PBE) of NpCo3SiB after structural relaxation.

The electronic total energy is -8.00 eV per atom.

a = 5.138 Å, b = 10.714 Å, c = 5.661 Å
α = 90.00°, β = 90.00°, γ = 90.00°
Space group Cmcm (No. 63)
Inequivalent atoms, fractional coordinates:
Np  0.000  0.229  0.250
Co  0.000  0.331  0.750
Co  0.249  0.500  0.000
Si  0.000  0.121  0.750
B  0.000  0.478  0.250


No. 3
The following is a DFT calculation (PBE) of Pr2GaW after structural relaxation.

As for the formation energy from the elements: 0.7353 eV/atom.

a = 3.1732 Å, b = 3.1732 Å, c = 33.6528 Å
α = 90.00°, β = 90.00°, γ = 120.00°
Space group R-3m (No. 166, hexagonal axes)
Inequivalent atoms, fractional coordinates:
Pr  0.0000  0.0000  0.0872
Ga  0.0000  0.0000  0.5000
W  0.0000  0.0000  0.0000


No. 4
The following is a DFT calculation (PBE) of LaNb2CdPd after structural relaxation.

As for the formation energy from the elements: 1.4891 eV/atom.

a = 4.985 Å, b = 4.985 Å, c = 5.082 Å
α = 90.00°, β = 90.00°, γ = 90.00°
Space group P4/mmm (No. 123)
Inequivalent atoms, fractional coordinates:
La  0.000  0.000  0.000
Nb  0.000  0.500  0.000
Cd  0.500  0.500  0.500
Pd  0.000  0.000  0.500


No. 5
The following is a DFT calculation (PBE) of Pm11Ag9Rh4 after structural relaxation.

As for the formation energy from the elements: -0.4280 eV/atom.

a = 14.412 Å, b = 21.608 Å, c = 3.743 Å
α = 90.00°, β = 90.00°, γ = 90.00°
Space group Cmmm (No. 65)
Inequivalent atoms, fractional coordinates:
Pm  0.000  0.000  0.000
Pm  0.000  0.167  0.000
Pm  0.000  0.367  0.000
Pm  0.202  0.500  0.000
Pm  0.247  0.168  0.000
Ag  0.000  0.500  0.500
Ag  0.106  0.262  0.500
Ag  0.139  0.073  0.500
Rh  0.147  0.403  0.500


No. 6
The following is a DFT calculation (PBE) of LiLa4Tm3Se8 after structural relaxation.

The electronic total energy is -5.76 eV per atom.

a = 8.2630 Å, b = 8.2630 Å, c = 20.6663 Å
α = 90.00°, β = 90.00°, γ = 120.00°
Space group R-3m (No. 166, hexagonal axes)
Inequivalent atoms, fractional coordinates:
Li  0.0000  0.0000  0.0000
La  0.0000  0.0000  0.5000
La  0.0000  0.5000  0.5000
Tm  0.0000  0.5000  0.0000
Se  0.0000  0.0000  0.2579
Se  0.0036  0.5018  0.7411


No. 7
The following is a DFT calculation (PBE) of Nd3Sm3Y5 after structural relaxation.

As for the formation energy from the elements: 0.7763 eV/atom.

a = 9.7032 Å, b = 9.7032 Å, c = 5.5431 Å
α = 90.00°, β = 90.00°, γ = 120.00°
Space group P-62m (No. 189)
Inequivalent atoms, fractional coordinates:
Nd  0.0000  0.6297  0.0000
Sm  0.0000  0.4677  0.5000
Y  0.0000  0.2630  0.0000
Y  0.3333  0.6667  0.0000


No. 8
The following is a DFT calculation (PBE) of MgMnGaSiS after structural relaxation.

The electronic total energy is -4.85 eV per atom.

a = 3.986 Å, b = 4.656 Å, c = 5.450 Å
α = 100.49°, β = 110.18°, γ = 102.22°
Space group P1 (No. 1)
Inequivalent atoms, fractional coordinates:
Mg  0.000  0.000  0.000
Mn  0.704  0.924  0.409
Ga  0.863  0.471  0.509
Si  0.320  0.052  0.585
S  0.387  0.580  0.017


Number 1: density of states at the Fermi level 3.3 states/eV/f.u., spin magnetization 0.000 μB per cell. Number 2: density of states at the Fermi level 10.0 states/eV/f.u., spin magnetization 10.601 μB per cell. Number 3: density of states at the Fermi level 6.2 states/eV/f.u., spin magnetization 0.000 μB per cell. Number 4: density of states at the Fermi level 4.8 states/eV/f.u., spin magnetization 0.000 μB per cell. Number 5: density of states at the Fermi level 17.7 states/eV/f.u., spin magnetization 0.000 μB per cell. Number 6: density of states at the Fermi level 10.3 states/eV/f.u., spin magnetization 0.000 μB per cell. Number 7: density of states at the Fermi level 18.1 states/eV/f.u., spin magnetization 0.001 μB per cell. Number 8: density of states at the Fermi level 1.7 states/eV/f.u., spin magnetization 1.138 μB per cell.